[1]
DyTmZnCo after structural relaxation, computed with GGA-PBE.

abc: 3.3752 3.3752 7.1430
angles: 90.00 90.00 90.00
Last column: nearest neighbours and their distance in Å.
Fractional coordinates of all 4 atoms:
Co1 0.5000 0.5000 0.6015  4 Tm 2.86, 4 Dy 2.91
Tm1 0.0000 0.0000 0.3799  4 Co 2.86, 4 Zn 3.06
Dy1 0.0000 0.0000 0.8337  4 Co 2.91, 4 Zn 3.11, 1 Tm 3.24
Zn1 0.5000 0.5000 0.1129  4 Tm 3.06, 4 Dy 3.11, 4 Zn 3.38

Output
calculated formation energy: -1.13 eV per formula unit
energy above the most stable polymorph in this dataset: 0.000 eV per atom
Fermi-level density of states: 0.495 states/eV per atom


[2]
Ca2LaPb2 after structural relaxation, computed with GGA-PBE.

abc: 4.8812 4.8812 7.8802
angles: 71.96 71.96 90.00
Last column: nearest neighbours and their distance in Å.
Fractional coordinates of all 5 atoms:
La1 0.0000 0.0000 0.0000  8 Pb 3.75
Pb1 0.6039 0.6039 0.7923  1 Pb 2.94, 4 Ca 3.20
Ca1 0.7500 0.2500 0.5000  4 Pb 3.20, 4 Ca 3.45
Pb2 0.3961 0.3961 0.2077  1 Pb 2.94, 4 Ca 3.20
Ca2 0.2500 0.7500 0.5000  4 Pb 3.20, 4 Ca 3.45

Output
calculated formation energy: -1.98 eV per formula unit
energy above the most stable polymorph in this dataset: 0.093 eV per atom
Fermi-level density of states: 1.343 states/eV per atom


[3]
CoMo2W after structural relaxation, computed with GGA-PBE.

abc: 2.6952 2.6952 8.3266
angles: 90.00 90.00 104.81
Last column: nearest neighbours and their distance in Å.
Fractional coordinates of all 4 atoms:
Mo1 0.0000 0.0000 0.9779  2 Co 2.51, 6 Mo 2.70-2.80
W1 0.0000 0.0000 0.5222  2 Co 2.51, 4 W 2.70, 2 Mo 2.80
Co1 0.5000 0.5000 0.7500  2 W 2.51, 2 Mo 2.51, 4 Co 2.70
Mo2 0.5000 0.5000 0.2498  6 Mo 2.70-2.80, 2 W 2.80

Output
calculated formation energy: 0.30 eV per formula unit
energy above the most stable polymorph in this dataset: 0.000 eV per atom
Fermi-level density of states: 0.743 states/eV per atom


[4]
TaZn2Te after structural relaxation, computed with GGA-PBE.

abc: 3.6957 3.6957 5.4550
angles: 90.00 90.00 90.00
Last column: nearest neighbours and their distance in Å.
Fractional coordinates of all 4 atoms:
Te1 0.5000 0.5000 0.7500  2 Ta 2.73, 8 Zn 3.01
Zn1 0.0000 0.0000 0.0253  1 Zn 2.45
Ta1 0.5000 0.5000 0.2500  2 Te 2.73, 8 Zn 2.89
Zn2 0.0000 0.0000 0.4747  1 Zn 2.45

Output
ΔE_f (raw): 245 meV per atom
Fermi-level density of states: 0.412 states/eV per atom


[5]
Ac4LaPm after structural relaxation, computed with GGA-PBE.

abc: 5.8212 5.8478 10.2437
angles: 73.53 73.49 60.15
Last column: nearest neighbours and their distance in Å.
Fractional coordinates of all 6 atoms:
Ac1 0.3759 0.3788 0.8694  1 Pm 3.57, 3 La 3.60
Pm1 0.5000 0.5000 0.5000  8 Ac 3.57-3.59
Ac2 0.6241 0.6212 0.1306  1 Pm 3.57, 3 La 3.60
Ac3 0.8746 0.8748 0.3760  3 Pm 3.57-3.59, 1 La 3.64
Ac4 0.1254 0.1252 0.6240  3 Pm 3.57-3.59, 1 La 3.64
La1 0.0000 0.0000 0.0000  8 Ac 3.60-3.64

Output
calculated formation energy: 3.55 eV per formula unit
energy above the most stable polymorph in this dataset: 0.568 eV per atom
Fermi-level density of states: 1.662 states/eV per atom


[6]
Pm3SbO after structural relaxation, computed with GGA-PBE.

abc: 4.8217 6.8025 7.8957
angles: 90.00 90.00 90.00
Last column: nearest neighbours and their distance in Å.
Fractional coordinates of all 10 atoms:
O1 0.5000 0.2500 0.7563  5 Pm 2.36-2.57
O2 0.5000 0.7500 0.2437  5 Pm 2.36-2.57
Pm1 0.5000 0.5000 0.0000  2 O 2.57
Pm2 0.5000 0.7500 0.5426  1 O 2.36
Sb1 0.0000 0.7500 0.8198  9 Pm 3.26-3.43
Pm3 0.5000 0.2500 0.4574  1 O 2.36
Sb2 0.0000 0.2500 0.1802  9 Pm 3.26-3.43
Pm4 0.0000 0.7500 0.2401  2 O 2.41
Pm5 0.5000 0.0000 0.0000  2 O 2.57
Pm6 0.0000 0.2500 0.7599  2 O 2.41

Output
ΔE_f (raw): -1377 meV per atom
energy above the most stable polymorph in this dataset: 0.109 eV per atom
Fermi-level density of states: 0.843 states/eV per atom